1.
First-principles (PBE-GGA) data for MnV4Si after structural relaxation, as listed in Alexandria via LeMat-Bulk.

E (eV per atom): -7.9086

Cell: 6.6687 6.6687 8.4935 Å, 90.00 90.00 90.00°
Closest atoms and distances in Å follow each position.
Space group I4_1md (No. 109)
Symmetry-distinct sites (fractional):
Mn 0.0000 0.0000 0.0000 [4 per cell]  6 V 2.13-2.38
V 0.0000 0.3191 0.0141 [8 per cell]  2 Mn 2.13-2.34
V 0.0000 0.3387 0.4995 [8 per cell]  1 V 2.15, 1 Si 2.26, 1 Mn 2.38
Si 0.0000 0.0000 0.5100 [4 per cell]  6 V 2.26-2.47



2.
First-principles (PBE-GGA) data for CsVZn after structural relaxation, as listed in Alexandria via LeMat-Bulk.

Energy relative to the elements (eV per atom): 0.6846

Cell: 13.5848 4.8431 5.0024 Å, 90.00 90.00 90.00°
Closest atoms and distances in Å follow each position.
Space group Pnma (No. 62)
Symmetry-distinct sites (fractional):
Cs 0.2497 0.2500 0.2019 [4 per cell]  4 Cs 3.48, 2 V 3.56-3.70, 2 Zn 3.74
V 0.0010 0.2500 0.5016 [4 per cell]  2 V 2.42
Zn 0.0000 0.0000 0.0000 [4 per cell]  2 Zn 2.42



3.
First-principles (PBE-GGA) data for KLi2In after structural relaxation, as listed in Alexandria via LeMat-Bulk.

Energy relative to the elements (eV per atom): 0.0266

Cell: 7.6454 7.6489 3.6086 Å, 90.00 90.21 90.00°
Closest atoms and distances in Å follow each position.
Space group C2/m (No. 12)
Symmetry-distinct sites (fractional):
K 0.0000 0.0000 0.0000 [2 per cell]  8 Li 3.25, 2 K 3.61
Li 0.2500 0.2500 0.5000 [4 per cell]  4 In 3.25, 4 K 3.25, 2 Li 3.61
In 0.0000 0.5000 0.0000 [2 per cell]  8 Li 3.25, 2 In 3.61



4.
First-principles (PBE-GGA) data for Cs2Ag2Pb after structural relaxation, as listed in Alexandria via LeMat-Bulk.

Energy relative to the elements (eV per atom): 0.4673

Cell: 5.1165 5.1165 15.3717 Å, 90.00 90.00 90.00°
Closest atoms and distances in Å follow each position.
Space group I4/mmm (No. 139)
Symmetry-distinct sites (fractional):
Cs 0.0000 0.5000 0.2500 [4 per cell]  4 Ag 3.58, 4 Cs 3.62
Ag 0.0000 0.0000 0.0867 [4 per cell]  1 Ag 2.67
Pb 0.0000 0.0000 0.5000 [2 per cell]  8 Ag 3.86



5.
First-principles (PBE-GGA) data for Tc2PAu after structural relaxation, as listed in Alexandria via LeMat-Bulk.

Energy relative to the elements (eV per atom): 0.5266

Cell: 3.7516 3.7516 18.7399 Å, 90.00 90.00 90.00°
Closest atoms and distances in Å follow each position.
Space group I-42d (No. 122)
Symmetry-distinct sites (fractional):
Tc 0.1940 0.2500 0.1250 [8 per cell]  2 Tc 2.37, 2 P 2.63
P 0.0000 0.0000 0.0000 [4 per cell]  4 Tc 2.63, 4 Au 2.65
Au 0.0000 0.0000 0.5000 [4 per cell]  4 P 2.65, 4 Tc 2.77



6.
First-principles (PBE-GGA) data for Cs2Mg5Tl12 after structural relaxation, as listed in Alexandria via LeMat-Bulk.

Energy relative to the elements (eV per atom): -0.0380

Cell: 11.1691 11.1691 16.6321 Å, 90.00 90.00 120.00°
Closest atoms and distances in Å follow each position.
Space group R-3m (No. 166, hexagonal axes)
Symmetry-distinct sites (fractional):
Cs 0.0000 0.0000 0.1397 [6 per cell]  15 Tl 4.03-4.39, 1 Mg 4.40
Mg 0.0000 0.0000 0.4042 [6 per cell]  4 Mg 3.19-3.43, 3 Tl 3.27
Mg 0.0000 0.5000 0.0000 [9 per cell]  8 Tl 3.10-3.23, 2 Mg 3.43
Tl 0.0000 0.2872 0.5000 [18 per cell]  6 Tl 3.21-3.46, 4 Mg 3.23-3.58
Tl 0.0313 0.5157 0.3508 [18 per cell]  3 Mg 3.10-3.27, 4 Tl 3.45-3.46



Record-wise total moment values, in μB/cell: 0.00, 4.72, 0.00, 0.00, 0.00, 0.00